Density functional theory data (PBE-GGA) for a geometry-optimized KLaCr structure.

Unit cell a=5.511 b=5.511 c=5.511 alpha=60.00 beta=60.00 gamma=60.00
Each line ends with the local moment (μB).
Positions (direct):
La 0.500 0.500 0.500  0.10
K 0.000 0.000 0.000  0.01
Cr 0.750 0.750 0.750  3.94

Calculated values
theoretical density	3.227	Mg/m³
relative energy among the computed polymorphs	371.1	meV per atom
M_tot	4.78	μB per formula unit

Density functional theory data (PBE-GGA) for a geometry-optimized K2HoTiSe4 structure.

Unit cell a=4.022 b=6.991 c=8.005 alpha=106.87 beta=90.00 gamma=90.00
Each line ends with the local moment (μB).
Positions (direct):
K 0.500 0.000 0.500  0.00
K 0.000 0.500 0.500  0.00
Se 0.000 0.250 0.798  -0.01
Se 0.500 0.215 0.193  -0.03
Se 0.500 0.785 0.807  -0.03
Se 0.000 0.750 0.202  -0.01
Ho 0.500 0.500 0.000  0.03
Ti 0.000 0.000 0.000  0.87

Calculated values
formation energy without anion corrections	-1.436	eV/atom
theoretical density	4.678	Mg/m³
M_tot	1.00	μB per formula unit

Density functional theory data (PBE-GGA) for a geometry-optimized Ho5AuS4 structure.

Unit cell a=3.881 b=6.909 c=8.854 alpha=75.76 beta=77.34 gamma=73.69
Positions (direct):
Ho 0.201 0.904 0.694
Ho 0.000 0.500 0.500
Ho 0.606 0.684 0.105
Ho 0.394 0.316 0.895
Ho 0.799 0.096 0.306
S 0.799 0.608 0.794
S 0.400 0.796 0.404
S 0.201 0.392 0.206
S 0.600 0.204 0.596
Au 0.000 0.000 0.000

Calculated values
formation energy without anion corrections	-1.727	eV/atom
theoretical density	8.762	Mg/m³
M_tot	0.00	μB per formula unit

Density functional theory data (PBE-GGA) for a geometry-optimized PmPaNiRh structure.

Unit cell a=4.875 b=4.875 c=4.875 alpha=60.00 beta=60.00 gamma=60.00
Positions (direct):
Ni 0.000 0.000 0.000
Rh 0.500 0.500 0.500
Pm 0.250 0.250 0.250
Pa 0.750 0.750 0.750

Calculated values
theoretical density	10.899	Mg/m³
M_tot	0.00	μB per formula unit
total energy	-7.1999	eV/atom

Density functional theory data (PBE-GGA) for a geometry-optimized TlAs2Ru structure.

Unit cell a=9.455 b=9.455 c=9.455 alpha=19.52 beta=19.52 gamma=19.52
Positions (direct):
Tl 0.750 0.750 0.750
Ru 0.250 0.250 0.250
As 0.520 0.520 0.520
As 0.980 0.980 0.980

Calculated values
theoretical density	9.159	Mg/m³
relative energy among the computed polymorphs	52.9	meV per atom
M_tot	0.00	μB per formula unit

Density functional theory data (PBE-GGA) for a geometry-optimized PmSm2Er4 structure.

Unit cell a=3.533 b=8.750 c=8.550 alpha=119.13 beta=101.91 gamma=90.04
Positions (direct):
Er 0.294 0.707 0.587
Er 0.706 0.293 0.413
Er 0.646 0.842 0.292
Er 0.354 0.158 0.708
Sm 0.932 0.571 0.861
Sm 0.068 0.429 0.139
Pm 0.000 0.000 0.000

Calculated values
theoretical density	8.252	Mg/m³
relative energy among the computed polymorphs	0.0	meV per atom
M_tot	0.00	μB per formula unit

Density functional theory data (PBE-GGA) for a geometry-optimized TiTe2PbO8 structure.

Unit cell a=4.880 b=4.881 c=6.939 alpha=90.98 beta=91.01 gamma=88.83
Positions (direct):
Ti 0.000 0.000 0.000
O 0.161 0.784 0.785
O 0.839 0.216 0.215
O 0.783 0.160 0.785
O 0.217 0.840 0.215
O 0.697 0.696 0.454
O 0.298 0.298 0.968
O 0.702 0.702 0.032
O 0.303 0.304 0.546
Te 0.485 0.485 0.766
Te 0.515 0.515 0.234
Pb 0.000 0.000 0.500

Calculated values
formation energy without anion corrections	-1.390	eV/atom
theoretical density	6.416	Mg/m³
M_tot	0.00	μB per formula unit

Density functional theory data (PBE-GGA) for a geometry-optimized Sm6SiRu2Br3 structure.

Unit cell a=7.161 b=7.161 c=7.995 alpha=98.62 beta=98.62 gamma=120.07
Positions (direct):
Br 0.500 0.500 0.500
Br 0.164 0.836 0.500
Br 0.836 0.164 0.500
Sm 0.717 0.717 0.198
Sm 0.585 0.935 0.802
Sm 0.065 0.415 0.198
Sm 0.415 0.065 0.198
Sm 0.935 0.585 0.802
Sm 0.283 0.283 0.802
Ru 0.667 0.333 0.000
Ru 0.333 0.667 0.000
Si 0.000 0.000 0.000

Calculated values
formation energy without anion corrections	-0.854	eV/atom
theoretical density	6.731	Mg/m³
M_tot	0.00	μB per formula unit

What did the fourth record say?
Density functional theory data (PBE-GGA) for a geometry-optimized PmPaNiRh structure.

Unit cell a=4.875 b=4.875 c=4.875 alpha=60.00 beta=60.00 gamma=60.00
Positions (direct):
Ni 0.000 0.000 0.000
Rh 0.500 0.500 0.500
Pm 0.250 0.250 0.250
Pa 0.750 0.750 0.750

Calculated values
theoretical density	10.899	Mg/m³
M_tot	0.00	μB per formula unit
total energy	-7.1999	eV/atom